[1]
! LaCeTmPu PBE-GGA optimized geometry; values from VASP
&SYSTEM
  ibrav = 0, nat = 16, ntyp = 4
/
ATOMIC_SPECIES
La 138.91 La.upf
Ce 140.12 Ce.upf
Tm 168.93 Tm.upf
Pu 244.00 Pu.upf
ATOMIC_POSITIONS crystal
La 0.0000 0.0000 0.0000
La 0.0000 0.5000 0.5000
La 0.5000 0.0000 0.5000
La 0.5000 0.5000 0.0000
Ce 0.2500 0.2500 0.2500
Ce 0.2500 0.7500 0.7500
Ce 0.7500 0.2500 0.7500
Ce 0.7500 0.7500 0.2500
Tm 0.0000 0.0000 0.5000
Tm 0.0000 0.5000 0.0000
Tm 0.5000 0.0000 0.0000
Tm 0.5000 0.5000 0.5000
Pu 0.2500 0.2500 0.7500
Pu 0.2500 0.7500 0.2500
Pu 0.7500 0.2500 0.2500
Pu 0.7500 0.7500 0.7500
CELL_PARAMETERS angstrom
7.9303 0.0000 0.0000
0.0000 7.9303 0.0000
0.0000 0.0000 7.9303
! SG	F-43m
! DOS(E_F)	3.952	states/eV per atom
! energy of formation from the pure elements	0.27	eV per atom



[2]
! LaCePuZn PBE-GGA optimized geometry; values from VASP
&SYSTEM
  ibrav = 0, nat = 16, ntyp = 4
/
ATOMIC_SPECIES
La 138.91 La.upf
Ce 140.12 Ce.upf
Pu 244.00 Pu.upf
Zn 65.41 Zn.upf
ATOMIC_POSITIONS crystal
La 0.0000 0.0000 0.0000
La 0.0000 0.5000 0.5000
La 0.5000 0.0000 0.5000
La 0.5000 0.5000 0.0000
Ce 0.2500 0.2500 0.7500
Ce 0.2500 0.7500 0.2500
Ce 0.7500 0.2500 0.2500
Ce 0.7500 0.7500 0.7500
Pu 0.0000 0.0000 0.5000
Pu 0.0000 0.5000 0.0000
Pu 0.5000 0.0000 0.0000
Pu 0.5000 0.5000 0.5000
Zn 0.2500 0.2500 0.2500
Zn 0.2500 0.7500 0.7500
Zn 0.7500 0.2500 0.7500
Zn 0.7500 0.7500 0.2500
CELL_PARAMETERS angstrom
7.3674 0.0000 0.0000
0.0000 7.3674 0.0000
0.0000 0.0000 7.3674
! SG	F-43m
! DOS(E_F)	1.999	states/eV per atom
! energy of formation from the pure elements	0.06	eV per atom



[3]
! Rb3La3CeS8 PBE-GGA optimized geometry; values from VASP
&SYSTEM
  ibrav = 0, nat = 15, ntyp = 4
/
ATOMIC_SPECIES
Rb 85.47 Rb.upf
La 138.91 La.upf
Ce 140.12 Ce.upf
S 32.06 S.upf
ATOMIC_POSITIONS crystal
Rb 0.0000 0.5000 0.5000
Rb 0.5000 0.0000 0.5000
Rb 0.5000 0.5000 0.0000
La 0.0000 0.0000 0.5000
La 0.0000 0.5000 0.0000
La 0.5000 0.0000 0.0000
Ce 0.5000 0.5000 0.5000
S 0.2321 0.2321 0.2321
S 0.2447 0.7209 0.7209
S 0.2791 0.2791 0.7553
S 0.2791 0.7553 0.2791
S 0.7209 0.2447 0.7209
S 0.7209 0.7209 0.2447
S 0.7553 0.2791 0.2791
S 0.7679 0.7679 0.7679
CELL_PARAMETERS angstrom
4.2726 2.4668 7.7612
-4.2726 2.4668 7.7612
0.0000 -4.9336 7.7612
! final energy	-84.8	eV for the cell shown
! SG	R-3m



[4]
! Rb3LaCe2S6 PBE-GGA optimized geometry; values from VASP
&SYSTEM
  ibrav = 0, nat = 12, ntyp = 4
/
ATOMIC_SPECIES
Rb 85.47 Rb.upf
La 138.91 La.upf
Ce 140.12 Ce.upf
S 32.06 S.upf
ATOMIC_POSITIONS crystal
Rb 0.0000 0.0000 0.0000
Rb 0.3337 0.6663 0.0000
Rb 0.6663 0.3337 0.0000
La 0.5000 0.5000 0.5000
Ce 0.1667 0.8333 0.5000
Ce 0.8333 0.1667 0.5000
S 0.0974 0.4345 0.3037
S 0.2283 0.2283 0.6963
S 0.4345 0.0974 0.3037
S 0.5655 0.9026 0.6963
S 0.7717 0.7717 0.3037
S 0.9026 0.5655 0.6963
CELL_PARAMETERS angstrom
3.7041 -6.4162 0.0000
3.7041 6.4162 0.0000
-2.4691 0.0000 7.6777
! final energy	-66.2	eV for the cell shown
! SG	C2/m
! DOS(E_F)	0.934	states/eV per atom



[5]
! Rb4La3CeS8 PBE-GGA optimized geometry; values from VASP
&SYSTEM
  ibrav = 0, nat = 16, ntyp = 4
/
ATOMIC_SPECIES
Rb 85.47 Rb.upf
La 138.91 La.upf
Ce 140.12 Ce.upf
S 32.06 S.upf
ATOMIC_POSITIONS crystal
Rb 0.0000 0.0000 0.0000
Rb 0.0000 0.5000 0.5000
Rb 0.5000 0.0000 0.5000
Rb 0.5000 0.5000 0.0000
La 0.0000 0.0000 0.5000
La 0.0000 0.5000 0.0000
La 0.5000 0.0000 0.0000
Ce 0.5000 0.5000 0.5000
S 0.2326 0.2326 0.2326
S 0.2352 0.7308 0.7308
S 0.2692 0.2692 0.7648
S 0.2692 0.7648 0.2692
S 0.7308 0.2352 0.7308
S 0.7308 0.7308 0.2352
S 0.7648 0.2692 0.2692
S 0.7674 0.7674 0.7674
CELL_PARAMETERS angstrom
4.3101 2.4884 7.6791
-4.3101 2.4884 7.6791
0.0000 -4.9769 7.6791
! final energy	-87.4	eV for the cell shown
! SG	R-3m
! DOS(E_F)	0.309	states/eV per atom



[6]
! Rb3La2CeSe6 PBE-GGA optimized geometry; values from VASP
&SYSTEM
  ibrav = 0, nat = 12, ntyp = 4
/
ATOMIC_SPECIES
Rb 85.47 Rb.upf
La 138.91 La.upf
Ce 140.12 Ce.upf
Se 78.96 Se.upf
ATOMIC_POSITIONS crystal
Rb 0.0000 0.0000 0.0000
Rb 0.3329 0.6671 0.0000
Rb 0.6671 0.3329 0.0000
La 0.1666 0.8334 0.5000
La 0.8334 0.1666 0.5000
Ce 0.5000 0.5000 0.5000
Se 0.1028 0.4332 0.2995
Se 0.2365 0.2365 0.7006
Se 0.4332 0.1028 0.2995
Se 0.5668 0.8972 0.7005
Se 0.7635 0.7635 0.2994
Se 0.8972 0.5668 0.7005
CELL_PARAMETERS angstrom
3.8637 -6.6920 0.0000
3.8637 6.6920 0.0000
-2.5760 0.0000 7.9853
! final energy	-60.8	eV for the cell shown
! SG	C2/m
! DOS(E_F)	0.409	states/eV per atom



[7]
! Rb3LaCe3Se8 PBE-GGA optimized geometry; values from VASP
&SYSTEM
  ibrav = 0, nat = 15, ntyp = 4
/
ATOMIC_SPECIES
Rb 85.47 Rb.upf
La 138.91 La.upf
Ce 140.12 Ce.upf
Se 78.96 Se.upf
ATOMIC_POSITIONS crystal
Rb 0.0000 0.0000 0.0000
Rb 0.0000 0.5000 0.0000
Rb 0.5000 0.0000 0.0000
La 0.0000 0.0000 0.5000
Ce 0.0000 0.5000 0.5000
Ce 0.5000 0.0000 0.5000
Ce 0.5000 0.5000 0.5000
Se 0.2339 0.7248 0.6944
Se 0.2353 0.2353 0.6936
Se 0.2669 0.2669 0.3032
Se 0.2752 0.7661 0.3056
Se 0.7248 0.2339 0.6944
Se 0.7331 0.7331 0.6968
Se 0.7647 0.7647 0.3064
Se 0.7661 0.2752 0.3056
CELL_PARAMETERS angstrom
7.5761 -4.3746 0.0000
7.5761 4.3746 0.0000
-5.0523 0.0000 8.0758
! final energy	-80.2	eV for the cell shown
! SG	C2/m
! DOS(E_F)	0.624	states/eV per atom



[8]
! Rb2LaCeSe4 PBE-GGA optimized geometry; values from VASP
&SYSTEM
  ibrav = 0, nat = 8, ntyp = 4
/
ATOMIC_SPECIES
Rb 85.47 Rb.upf
La 138.91 La.upf
Ce 140.12 Ce.upf
Se 78.96 Se.upf
ATOMIC_POSITIONS crystal
Rb 0.0000 0.0000 0.0000
Rb 0.5000 0.5000 0.0000
La 0.0000 0.5000 0.5000
Ce 0.5000 0.0000 0.5000
Se 0.2364 0.0000 0.7010
Se 0.2697 0.5000 0.3003
Se 0.7303 0.5000 0.6997
Se 0.7636 0.0000 0.2990
CELL_PARAMETERS angstrom
7.7070 0.0000 0.0000
0.0000 4.4511 0.0000
-2.5671 0.0000 7.9818
! final energy	-40.7	eV for the cell shown
! SG	P2/m
! DOS(E_F)	0.686	states/eV per atom



[9]
! Rb3La3CeSe8 PBE-GGA optimized geometry; values from VASP
&SYSTEM
  ibrav = 0, nat = 15, ntyp = 4
/
ATOMIC_SPECIES
Rb 85.47 Rb.upf
La 138.91 La.upf
Ce 140.12 Ce.upf
Se 78.96 Se.upf
ATOMIC_POSITIONS crystal
Rb 0.0000 0.5000 0.5000
Rb 0.5000 0.0000 0.5000
Rb 0.5000 0.5000 0.0000
La 0.0000 0.0000 0.5000
La 0.0000 0.5000 0.0000
La 0.5000 0.0000 0.0000
Ce 0.5000 0.5000 0.5000
Se 0.2336 0.2336 0.2336
Se 0.2444 0.7236 0.7236
Se 0.2764 0.2764 0.7556
Se 0.2764 0.7556 0.2764
Se 0.7236 0.2444 0.7236
Se 0.7236 0.7236 0.2444
Se 0.7556 0.2764 0.2764
Se 0.7664 0.7664 0.7664
CELL_PARAMETERS angstrom
4.4220 2.5530 8.0851
-4.4220 2.5530 8.0851
0.0000 -5.1060 8.0851
! final energy	-78.2	eV for the cell shown
! SG	R-3m



[10]
! Rb3LaCe2Se6 PBE-GGA optimized geometry; values from VASP
&SYSTEM
  ibrav = 0, nat = 12, ntyp = 4
/
ATOMIC_SPECIES
Rb 85.47 Rb.upf
La 138.91 La.upf
Ce 140.12 Ce.upf
Se 78.96 Se.upf
ATOMIC_POSITIONS crystal
Rb 0.0000 0.0000 0.0000
Rb 0.3339 0.6661 0.0000
Rb 0.6661 0.3339 0.0000
La 0.5000 0.5000 0.5000
Ce 0.1667 0.8333 0.5000
Ce 0.8333 0.1667 0.5000
Se 0.0967 0.4333 0.2999
Se 0.2301 0.2301 0.7001
Se 0.4333 0.0967 0.2999
Se 0.5667 0.9033 0.7001
Se 0.7699 0.7699 0.2999
Se 0.9033 0.5667 0.7001
CELL_PARAMETERS angstrom
3.8439 -6.6576 0.0000
3.8439 6.6576 0.0000
-2.5632 0.0000 7.9795
! final energy	-61.2	eV for the cell shown
! SG	C2/m
! DOS(E_F)	0.935	states/eV per atom



[11]
! RbLaCe2Te4 PBE-GGA optimized geometry; values from VASP
&SYSTEM
  ibrav = 0, nat = 8, ntyp = 4
/
ATOMIC_SPECIES
Rb 85.47 Rb.upf
La 138.91 La.upf
Ce 140.12 Ce.upf
Te 127.60 Te.upf
ATOMIC_POSITIONS crystal
Rb 0.0000 0.0000 0.0000
La 0.5000 0.5000 0.0000
Ce 0.0000 0.5000 0.5000
Ce 0.5000 0.0000 0.5000
Te 0.2558 0.0000 0.7400
Te 0.2686 0.5000 0.2705
Te 0.7314 0.5000 0.7295
Te 0.7442 0.0000 0.2600
CELL_PARAMETERS angstrom
8.0765 0.0000 0.0000
0.0000 4.5687 0.0000
-2.5832 0.0000 7.7494
! final energy	-41.1	eV for the cell shown
! SG	P2/m
! DOS(E_F)	2.184	states/eV per atom



[12]
! RbLa3Ce2Te6 PBE-GGA optimized geometry; values from VASP
&SYSTEM
  ibrav = 0, nat = 12, ntyp = 4
/
ATOMIC_SPECIES
Rb 85.47 Rb.upf
La 138.91 La.upf
Ce 140.12 Ce.upf
Te 127.60 Te.upf
ATOMIC_POSITIONS crystal
Rb 0.0000 0.0000 0.0000
La 0.0000 0.0000 0.5000
La 0.3373 0.3373 0.1735
La 0.6627 0.6627 0.8265
Ce 0.3300 0.3300 0.6588
Ce 0.6700 0.6700 0.3412
Te 0.1662 0.1662 0.5815
Te 0.1735 0.1735 0.0899
Te 0.4956 0.4956 0.7329
Te 0.5044 0.5044 0.2671
Te 0.8265 0.8265 0.9101
Te 0.8338 0.8338 0.4185
CELL_PARAMETERS angstrom
10.0920 -2.2856 0.0000
10.0920 2.2856 0.0000
-2.1331 0.0000 9.1430
! final energy	-63.6	eV for the cell shown
! SG	C2/m
! DOS(E_F)	1.592	states/eV per atom



[13]
! Rb4LaCe3Te8 PBE-GGA optimized geometry; values from VASP
&SYSTEM
  ibrav = 0, nat = 16, ntyp = 4
/
ATOMIC_SPECIES
Rb 85.47 Rb.upf
La 138.91 La.upf
Ce 140.12 Ce.upf
Te 127.60 Te.upf
ATOMIC_POSITIONS crystal
Rb 0.0000 0.0000 0.0000
Rb 0.0000 0.5000 0.5000
Rb 0.5000 0.0000 0.5000
Rb 0.5000 0.5000 0.0000
La 0.5000 0.5000 0.5000
Ce 0.0000 0.0000 0.5000
Ce 0.0000 0.5000 0.0000
Ce 0.5000 0.0000 0.0000
Te 0.2324 0.7362 0.7362
Te 0.2345 0.2345 0.2345
Te 0.2638 0.2638 0.7676
Te 0.2638 0.7676 0.2638
Te 0.7362 0.2324 0.7362
Te 0.7362 0.7362 0.2324
Te 0.7655 0.7655 0.7655
Te 0.7676 0.2638 0.2638
CELL_PARAMETERS angstrom
4.7115 2.7202 8.5243
-4.7115 2.7202 8.5243
0.0000 -5.4404 8.5243
! final energy	-73.7	eV for the cell shown
! SG	R-3m
! DOS(E_F)	1.199	states/eV per atom



[14]
! Rb3La2CeTe6 PBE-GGA optimized geometry; values from VASP
&SYSTEM
  ibrav = 0, nat = 12, ntyp = 4
/
ATOMIC_SPECIES
Rb 85.47 Rb.upf
La 138.91 La.upf
Ce 140.12 Ce.upf
Te 127.60 Te.upf
ATOMIC_POSITIONS crystal
Rb 0.0000 0.0000 0.0000
Rb 0.3326 0.6674 0.0000
Rb 0.6674 0.3326 0.0000
La 0.1666 0.8334 0.5000
La 0.8334 0.1666 0.5000
Ce 0.5000 0.5000 0.5000
Te 0.1006 0.4316 0.2948
Te 0.2375 0.2375 0.7054
Te 0.4316 0.1006 0.2948
Te 0.5684 0.8994 0.7052
Te 0.7625 0.7625 0.2946
Te 0.8994 0.5684 0.7052
CELL_PARAMETERS angstrom
4.1020 -7.1047 0.0000
4.1020 7.1047 0.0000
-2.7349 0.0000 8.5360
! final energy	-54.8	eV for the cell shown
! SG	C2/m
! DOS(E_F)	0.710	states/eV per atom



[15]
! LaCeRe4 PBE-GGA optimized geometry; values from VASP
&SYSTEM
  ibrav = 0, nat = 6, ntyp = 3
/
ATOMIC_SPECIES
La 138.91 La.upf
Ce 140.12 Ce.upf
Re 186.21 Re.upf
ATOMIC_POSITIONS crystal
La 0.0000 0.0000 0.0000
Ce 0.7500 0.7500 0.7500
Re 0.3750 0.3750 0.3750
Re 0.3750 0.3750 0.8749
Re 0.3750 0.8749 0.3750
Re 0.8749 0.3750 0.3750
CELL_PARAMETERS angstrom
0.0000 3.8950 3.8950
3.8950 0.0000 3.8950
3.8950 3.8950 0.0000
! SG	F-43m
! DOS(E_F)	2.404	states/eV per atom
! energy of formation from the pure elements	0.07	eV per atom



[16]
! La3Ce5Rh2 PBE-GGA optimized geometry; values from VASP
&SYSTEM
  ibrav = 0, nat = 20, ntyp = 3
/
ATOMIC_SPECIES
La 138.91 La.upf
Ce 140.12 Ce.upf
Rh 102.91 Rh.upf
ATOMIC_POSITIONS crystal
La 0.1689 0.2202 0.3892
La 0.2500 0.2500 0.0000
La 0.3311 0.7202 0.0513
La 0.6689 0.2798 0.9487
La 0.7500 0.7500 0.0000
La 0.8311 0.7798 0.6108
Ce 0.0383 0.7500 0.2883
Ce 0.0731 0.6816 0.7546
Ce 0.2500 0.7500 0.5000
Ce 0.4269 0.1816 0.6085
Ce 0.4617 0.7500 0.7117
Ce 0.5383 0.2500 0.2883
Ce 0.5731 0.8184 0.3915
Ce 0.7500 0.2500 0.5000
Ce 0.9269 0.3184 0.2454
Ce 0.9617 0.2500 0.7117
Rh 0.1590 0.8973 0.0563
Rh 0.3410 0.3973 0.7382
Rh 0.6590 0.6027 0.2618
Rh 0.8410 0.1027 0.9437
CELL_PARAMETERS angstrom
-5.6831 6.9587 3.4878
5.6831 -6.9587 3.4878
5.6831 6.9587 -3.4878
! SG	Ibam
! DOS(E_F)	2.285	states/eV per atom
! energy of formation from the pure elements	-0.22	eV per atom



[17]
! La5CeRh4 PBE-GGA optimized geometry; values from VASP
&SYSTEM
  ibrav = 0, nat = 10, ntyp = 3
/
ATOMIC_SPECIES
La 138.91 La.upf
Ce 140.12 Ce.upf
Rh 102.91 Rh.upf
ATOMIC_POSITIONS crystal
La 0.0000 0.0000 0.0000
La 0.3338 0.3338 0.6454
La 0.3364 0.3364 0.1617
La 0.6636 0.6636 0.8383
La 0.6662 0.6662 0.3546
Ce 0.0000 0.0000 0.5000
Rh 0.1681 0.1681 0.6078
Rh 0.5002 0.5002 0.2528
Rh 0.4998 0.4998 0.7472
Rh 0.8319 0.8319 0.3922
CELL_PARAMETERS angstrom
8.9634 -2.0965 0.0000
8.9634 2.0965 0.0000
-2.1280 0.0000 7.7755
! SG	C2/m
! DOS(E_F)	0.892	states/eV per atom
! energy of formation from the pure elements	-0.63	eV per atom



[18]
! La2Ce2Rh3 PBE-GGA optimized geometry; values from VASP
&SYSTEM
  ibrav = 0, nat = 14, ntyp = 3
/
ATOMIC_SPECIES
La 138.91 La.upf
Ce 140.12 Ce.upf
Rh 102.91 Rh.upf
ATOMIC_POSITIONS crystal
La 0.0000 0.3829 0.5000
La 0.1171 0.1171 0.1171
La 0.3829 0.5000 0.0000
La 0.5000 0.0000 0.3829
Ce 0.0000 0.8880 0.5000
Ce 0.5000 0.0000 0.8880
Ce 0.6120 0.6120 0.6120
Ce 0.8880 0.5000 0.0000
Rh 0.1184 0.7500 0.8684
Rh 0.2500 0.6316 0.3816
Rh 0.3816 0.2500 0.6316
Rh 0.6316 0.3816 0.2500
Rh 0.7500 0.8684 0.1184
Rh 0.8684 0.1184 0.7500
CELL_PARAMETERS angstrom
-4.4230 4.4230 4.4230
4.4230 -4.4230 4.4230
4.4230 4.4230 -4.4230
! SG	I2_13
! DOS(E_F)	1.629	states/eV per atom
! energy of formation from the pure elements	-0.67	eV per atom



[19]
! LaCe2Rh PBE-GGA optimized geometry; values from VASP
&SYSTEM
  ibrav = 0, nat = 4, ntyp = 3
/
ATOMIC_SPECIES
La 138.91 La.upf
Ce 140.12 Ce.upf
Rh 102.91 Rh.upf
ATOMIC_POSITIONS crystal
La 0.0000 0.0000 0.0000
Ce 0.5000 0.5000 0.3050
Ce 0.5000 0.5000 0.6950
Rh 0.0000 0.0000 0.5000
CELL_PARAMETERS angstrom
3.6353 0.0000 0.0000
0.0000 3.6353 0.0000
0.0000 0.0000 7.7867
! SG	P4/mmm
! DOS(E_F)	2.311	states/eV per atom
! energy of formation from the pure elements	-0.30	eV per atom



[20]
! LaCeRh4 PBE-GGA optimized geometry; values from VASP
&SYSTEM
  ibrav = 0, nat = 6, ntyp = 3
/
ATOMIC_SPECIES
La 138.91 La.upf
Ce 140.12 Ce.upf
Rh 102.91 Rh.upf
ATOMIC_POSITIONS crystal
La 0.0000 0.0000 0.0000
Ce 0.7500 0.7500 0.7500
Rh 0.3752 0.3752 0.3752
Rh 0.3752 0.3752 0.8745
Rh 0.3752 0.8745 0.3752
Rh 0.8745 0.3752 0.3752
CELL_PARAMETERS angstrom
0.0000 3.8188 3.8188
3.8188 0.0000 3.8188
3.8188 3.8188 0.0000
! SG	F-43m
! DOS(E_F)	1.098	states/eV per atom
! energy of formation from the pure elements	-0.70	eV per atom